DFT (GGA-PBE) results for an optimized crystal structure of RbLaF2.

Crystal system: tetragonal
Energy above the lowest structure with this stoichiometry in meV/atom: 162
DOS at the Fermi energy in states/eV/atom: 0.8278

abc: 6.5405 6.5405 12.8564
angles: 90.00 90.00 90.00
Last column: nearest neighbours and their distance in Å.
Space group I-42d (No. 122)
Asymmetric unit:
Rb: 0.0000 0.0000 0.0000 (multiplicity 4)  4 F 3.59
La: 0.0000 0.0000 0.5000 (multiplicity 4)  4 F 2.35
F: 0.0784 0.2500 0.6250 (multiplicity 8)  2 La 2.35



DFT (GGA-PBE) results for an optimized crystal structure of Rb2LaF7.

Crystal system: tetragonal
DOS at the Fermi energy in states/eV/atom: 0.0000

abc: 6.2591 6.2591 10.5852
angles: 90.00 90.00 90.00
Last column: nearest neighbours and their distance in Å.
Space group I4/mmm (No. 139)
Asymmetric unit:
Rb: 0.0000 0.5000 0.2500 (multiplicity 4)  12 F 3.15-3.45
La: 0.0000 0.0000 0.0000 (multiplicity 2)  6 F 2.28
F: 0.0000 0.0000 0.2155 (multiplicity 4)  1 La 2.28
F: 0.0000 0.0000 0.5000 (multiplicity 2)  4 F 2.14
F: 0.2420 0.2420 0.5000 (multiplicity 8)  1 F 2.14, 1 La 2.28



no.,calculated total energy (eV per atom)
1,-4.861
2,-4.589